Material: Li2AlAu
Method: DFT, meta-GGA SCAN
State: single point on PBEsol structure

Energy of formation from the pure elements   -0.55 eV/atom
Calculated total energy   -20.969 eV per atom
M_tot   0.0 μB/f.u.
V   60.0 Å³/f.u.
Theoretical density   6.6 g/cm3

CIF file:
```
data_Li2AlAu
_chemical_formula_sum 'Li4 Al2 Au2'
_cell_length_a 3.739
_cell_length_b 3.739
_cell_length_c 8.590
_cell_angle_alpha 90.00
_cell_angle_beta 90.00
_cell_angle_gamma 90.00
_space_group_name_H-M_alt 'I 4/m m m'
_space_group_IT_number 139
_space_group_name_Hall '-I 4 2'
loop_
_atom_site_label
_atom_site_fract_x
_atom_site_fract_y
_atom_site_fract_z
Li1 0.000 0.500 0.250
Al1 0.000 0.000 0.000
Au1 0.000 0.000 0.500
```